1.
Below is Pr15YTm4 after structural relaxation, with properties calculated at the PBE level.

Cell lengths 5.184, 5.184, 25.824 Å; angles 90.00, 90.00, 90.00 degrees
Fractional positions:
Pr (0.000, 0.000, 0.000)
Pr (0.000, 0.000, 0.201)
Pr (0.000, 0.000, 0.400)
Pr (0.000, 0.000, 0.600)
Pr (0.000, 0.000, 0.799)
Pr (0.000, 0.500, 0.101)
Pr (0.000, 0.500, 0.300)
Pr (0.000, 0.500, 0.500)
Pr (0.000, 0.500, 0.700)
Pr (0.000, 0.500, 0.899)
Pr (0.500, 0.000, 0.101)
Pr (0.500, 0.000, 0.300)
Pr (0.500, 0.000, 0.500)
Pr (0.500, 0.000, 0.700)
Pr (0.500, 0.000, 0.899)
Y (0.500, 0.500, 0.000)
Tm (0.500, 0.500, 0.201)
Tm (0.500, 0.500, 0.400)
Tm (0.500, 0.500, 0.600)
Tm (0.500, 0.500, 0.799)

Computed properties:
Space group = P4/mmm (123)

2.
Below is Pr6Y3Tm after structural relaxation, with properties calculated at the PBE level.

Cell lengths 11.283, 11.283, 6.353 Å; angles 90.00, 90.00, 120.61 degrees
Fractional positions:
Pr (0.040, 0.960, 0.500)
Pr (0.058, 0.480, 0.054)
Pr (0.280, 0.720, 0.763)
Pr (0.288, 0.375, 0.871)
Pr (0.375, 0.288, 0.371)
Pr (0.480, 0.058, 0.554)
Pr (0.520, 0.942, 0.054)
Pr (0.625, 0.712, 0.871)
Pr (0.712, 0.625, 0.371)
Pr (0.720, 0.280, 0.263)
Pr (0.942, 0.520, 0.554)
Pr (0.960, 0.040, 0.000)
Y (0.054, 0.280, 0.444)
Y (0.280, 0.054, 0.944)
Y (0.386, 0.614, 0.337)
Y (0.614, 0.386, 0.837)
Y (0.720, 0.946, 0.444)
Y (0.946, 0.720, 0.944)
Tm (0.199, 0.801, 0.296)
Tm (0.801, 0.199, 0.796)

Computed properties:
Space group = Cmc2_1 (36)

3.
Below is Pr2Y5Tm after structural relaxation, with properties calculated at the PBE level.

Cell lengths 13.220, 13.220, 6.737 Å; angles 90.25, 90.25, 152.12 degrees
Fractional positions:
Pr (0.000, 0.000, 0.000)
Pr (0.000, 0.000, 0.500)
Pr (0.000, 0.500, 0.000)
Pr (0.500, 0.000, 0.500)
Y (0.114, 0.886, 0.250)
Y (0.139, 0.507, 0.529)
Y (0.154, 0.360, 0.177)
Y (0.360, 0.154, 0.677)
Y (0.493, 0.861, 0.971)
Y (0.507, 0.139, 0.029)
Y (0.640, 0.846, 0.323)
Y (0.846, 0.640, 0.823)
Y (0.861, 0.493, 0.471)
Y (0.886, 0.114, 0.750)
Tm (0.448, 0.552, 0.750)
Tm (0.552, 0.448, 0.250)

Computed properties:
Space group = C2/c (15)

4.
Below is Pr16Y6Tm7 after structural relaxation, with properties calculated at the PBE level.

Cell lengths 11.356, 11.356, 11.356 Å; angles 60.00, 60.00, 60.00 degrees
Fractional positions:
Pr (0.052, 0.649, 0.649)
Pr (0.125, 0.125, 0.125)
Pr (0.125, 0.125, 0.626)
Pr (0.125, 0.626, 0.125)
Pr (0.351, 0.351, 0.351)
Pr (0.351, 0.351, 0.948)
Pr (0.351, 0.948, 0.351)
Pr (0.374, 0.875, 0.875)
Pr (0.626, 0.125, 0.125)
Pr (0.649, 0.052, 0.649)
Pr (0.649, 0.649, 0.052)
Pr (0.649, 0.649, 0.649)
Pr (0.875, 0.374, 0.875)
Pr (0.875, 0.875, 0.374)
Pr (0.875, 0.875, 0.875)
Pr (0.948, 0.351, 0.351)
Y (0.267, 0.267, 0.733)
Y (0.267, 0.733, 0.267)
Y (0.267, 0.733, 0.733)
Y (0.733, 0.267, 0.267)
Y (0.733, 0.267, 0.733)
Y (0.733, 0.733, 0.267)
Tm (0.000, 0.000, 0.000)
Tm (0.000, 0.000, 0.500)
Tm (0.000, 0.500, 0.000)
Tm (0.000, 0.500, 0.500)
Tm (0.500, 0.000, 0.000)
Tm (0.500, 0.000, 0.500)
Tm (0.500, 0.500, 0.000)

Computed properties:
Space group = Fm-3m (225)

5.
Below is Pr7YTm4 after structural relaxation, with properties calculated at the PBE level.

Cell lengths 8.657, 8.657, 9.570 Å; angles 115.77, 115.77, 40.73 degrees
Fractional positions:
Pr (0.000, 0.000, 0.000)
Pr (0.277, 0.277, 0.744)
Pr (0.286, 0.286, 0.108)
Pr (0.410, 0.410, 0.543)
Pr (0.590, 0.590, 0.457)
Pr (0.714, 0.714, 0.892)
Pr (0.723, 0.723, 0.256)
Y (0.500, 0.500, 0.000)
Tm (0.066, 0.066, 0.701)
Tm (0.166, 0.166, 0.365)
Tm (0.834, 0.834, 0.635)
Tm (0.934, 0.934, 0.299)

Computed properties:
Space group = C2/m (12)

6.
Below is PrY3Tm3 after structural relaxation, with properties calculated at the PBE level.

Cell lengths 8.786, 8.786, 8.786 Å; angles 58.87, 58.87, 58.87 degrees
Fractional positions:
Pr (0.150, 0.150, 0.150)
Pr (0.850, 0.850, 0.850)
Y (0.069, 0.564, 0.227)
Y (0.227, 0.069, 0.564)
Y (0.436, 0.773, 0.931)
Y (0.564, 0.227, 0.069)
Y (0.773, 0.931, 0.436)
Y (0.931, 0.436, 0.773)
Tm (0.217, 0.672, 0.435)
Tm (0.328, 0.565, 0.783)
Tm (0.435, 0.217, 0.672)
Tm (0.565, 0.783, 0.328)
Tm (0.672, 0.435, 0.217)
Tm (0.783, 0.328, 0.565)

Computed properties:
Space group = R-3 (148)

7.
Below is Pr7Y12Tm after structural relaxation, with properties calculated at the PBE level.

Cell lengths 9.856, 9.856, 9.856 Å; angles 109.47, 109.47, 109.47 degrees
Fractional positions:
Pr (0.000, 0.000, 0.500)
Pr (0.000, 0.500, 0.000)
Pr (0.000, 0.500, 0.500)
Pr (0.500, 0.000, 0.000)
Pr (0.500, 0.000, 0.500)
Pr (0.500, 0.500, 0.000)
Pr (0.500, 0.500, 0.500)
Y (0.000, 0.246, 0.754)
Y (0.000, 0.754, 0.246)
Y (0.246, 0.000, 0.754)
Y (0.246, 0.246, 0.491)
Y (0.246, 0.491, 0.246)
Y (0.246, 0.754, 0.000)
Y (0.491, 0.246, 0.246)
Y (0.509, 0.754, 0.754)
Y (0.754, 0.000, 0.246)
Y (0.754, 0.246, 0.000)
Y (0.754, 0.509, 0.754)
Y (0.754, 0.754, 0.509)
Tm (0.000, 0.000, 0.000)

Computed properties:
Space group = Im-3m (229)

8.
Below is PrY6Tm4 after structural relaxation, with properties calculated at the PBE level.

Cell lengths 5.627, 5.627, 25.738 Å; angles 90.00, 90.00, 119.69 degrees
Fractional positions:
Pr (0.173, 0.827, 0.750)
Pr (0.827, 0.173, 0.250)
Y (0.160, 0.840, 0.180)
Y (0.160, 0.840, 0.320)
Y (0.172, 0.828, 0.600)
Y (0.172, 0.828, 0.900)
Y (0.494, 0.506, 0.250)
Y (0.500, 0.500, 0.000)
Y (0.500, 0.500, 0.500)
Y (0.506, 0.494, 0.750)
Y (0.828, 0.172, 0.100)
Y (0.828, 0.172, 0.400)
Y (0.840, 0.160, 0.680)
Y (0.840, 0.160, 0.820)
Tm (0.165, 0.835, 0.041)
Tm (0.165, 0.835, 0.459)
Tm (0.493, 0.507, 0.121)
Tm (0.493, 0.507, 0.379)
Tm (0.507, 0.493, 0.621)
Tm (0.507, 0.493, 0.879)
Tm (0.835, 0.165, 0.541)
Tm (0.835, 0.165, 0.959)

Computed properties:
Space group = Cmcm (63)

9.
Below is Pr3Y5Tm2 after structural relaxation, with properties calculated at the PBE level.

Cell lengths 9.769, 9.769, 9.361 Å; angles 108.55, 108.55, 112.84 degrees
Fractional positions:
Pr (0.019, 0.269, 0.044)
Pr (0.232, 0.768, 0.750)
Pr (0.269, 0.019, 0.544)
Pr (0.731, 0.981, 0.456)
Pr (0.768, 0.232, 0.250)
Pr (0.981, 0.731, 0.956)
Y (0.027, 0.973, 0.750)
Y (0.145, 0.374, 0.766)
Y (0.274, 0.726, 0.250)
Y (0.374, 0.145, 0.266)
Y (0.471, 0.529, 0.250)
Y (0.529, 0.471, 0.750)
Y (0.626, 0.855, 0.734)
Y (0.726, 0.274, 0.750)
Y (0.855, 0.626, 0.234)
Y (0.973, 0.027, 0.250)
Tm (0.232, 0.468, 0.454)
Tm (0.468, 0.232, 0.954)
Tm (0.532, 0.768, 0.046)
Tm (0.768, 0.532, 0.546)

Computed properties:
Space group = C2/c (15)

Number 1: calculated total energy -4.794 eV per atom, formation energy 0.008 eV/atom. Number 2: calculated total energy -5.122 eV per atom, formation energy 0.132 eV/atom. Number 3: calculated total energy -5.485 eV per atom, formation energy 0.309 eV/atom. Number 4: calculated total energy -4.866 eV per atom, formation energy 0.187 eV/atom. Number 5: calculated total energy -4.604 eV per atom, formation energy 0.213 eV/atom. Number 6: calculated total energy -5.163 eV per atom, formation energy 0.206 eV/atom. Number 7: calculated total energy -5.149 eV per atom, formation energy 0.626 eV/atom. Number 8: calculated total energy -5.470 eV per atom, formation energy 0.117 eV/atom. Number 9: calculated total energy -5.377 eV per atom, formation energy 0.184 eV/atom.